Entry 1:
The following is a SCAN calculation of a PBEsol-optimized structure of CoPtRh, from the Alexandria database.

## Properties
SG ... P3m1, No. 156

a = 2.6669 Å, b = 2.6669 Å, c = 6.4319 Å
α = 90.00°, β = 90.00°, γ = 120.00°
Closest atoms and distances in Å follow each position.
Sites, in units of the cell vectors:
Pt 0.3333 0.6667 0.6777  3 Co 2.61, 6 Pt 2.67, 3 Rh 2.79
Co 0.0000 0.0000 0.0060  3 Rh 2.52, 3 Pt 2.61, 6 Co 2.67
Rh 0.6667 0.3333 0.3163  3 Co 2.52, 6 Rh 2.67, 3 Pt 2.79

=====

Entry 2:
The following is a SCAN calculation of a PBEsol-optimized structure of Co2PtRh, from the Alexandria database.

## Properties
SG ... Cmmm, No. 65

a = 2.6306 Å, b = 4.4663 Å, c = 4.4663 Å
α = 107.72°, β = 90.00°, γ = 90.00°
Closest atoms and distances in Å follow each position.
Sites, in units of the cell vectors:
Rh 0.5000 0.5000 0.5000  8 Co 2.59, 2 Rh 2.63, 2 Pt 2.63
Co 0.0000 0.0000 0.5000  4 Rh 2.59, 4 Pt 2.59, 4 Co 2.63
Co 0.0000 0.5000 0.0000  4 Pt 2.59, 4 Rh 2.59, 4 Co 2.63
Pt 0.5000 0.0000 0.0000  8 Co 2.59, 2 Pt 2.63, 2 Rh 2.63

=====

Entry 3:
The following is a SCAN calculation of a PBEsol-optimized structure of CoPt4Rh, from the Alexandria database.

## Properties
SG ... F-43m, No. 216

a = 5.1067 Å, b = 5.1067 Å, c = 5.1067 Å
α = 60.00°, β = 60.00°, γ = 60.00°
Closest atoms and distances in Å follow each position.
Sites, in units of the cell vectors:
Pt 0.3750 0.3750 0.3750  6 Pt 2.55
Pt 0.3750 0.8750 0.3750  6 Pt 2.55
Pt 0.3750 0.3750 0.8750  6 Pt 2.55
Pt 0.8750 0.3750 0.3750  6 Pt 2.55
Rh 0.7500 0.7500 0.7500  12 Pt 2.99, 4 Co 3.13
Co 0.0000 0.0000 0.0000  12 Pt 2.99, 4 Rh 3.13

=====

Entry 4:
The following is a SCAN calculation of a PBEsol-optimized structure of CoPt2Rh, from the Alexandria database.

## Properties
SG ... Cmmm, No. 65

a = 2.6861 Å, b = 4.6399 Å, c = 4.6399 Å
α = 109.58°, β = 90.00°, γ = 90.00°
Closest atoms and distances in Å follow each position.
Sites, in units of the cell vectors:
Pt 0.0000 0.5000 0.0000  4 Pt 2.68-2.69, 4 Rh 2.68, 4 Co 2.68
Pt 0.0000 0.0000 0.5000  4 Pt 2.68-2.69, 4 Co 2.68, 4 Rh 2.68
Co 0.5000 0.5000 0.5000  2 Rh 2.68, 8 Pt 2.68, 2 Co 2.69
Rh 0.5000 0.0000 0.0000  2 Co 2.68, 8 Pt 2.68, 2 Rh 2.69

=====

Entry 5:
The following is a SCAN calculation of a PBEsol-optimized structure of Co2PtRh, from the Alexandria database.

## Properties
SG ... Amm2, No. 38

a = 2.6334 Å, b = 3.9802 Å, c = 4.9698 Å
α = 90.00°, β = 105.36°, γ = 90.00°
Closest atoms and distances in Å follow each position.
Sites, in units of the cell vectors:
Rh 0.4171 0.5000 0.8341  7 Co 2.57-2.59, 2 Rh 2.63, 4 Pt 2.83
Co 0.8130 0.0000 0.6260  2 Co 2.34, 1 Pt 2.52, 4 Rh 2.59
Co 0.6848 0.5000 0.3695  2 Co 2.34, 3 Rh 2.57-2.59, 4 Pt 2.60
Pt 0.0763 0.0000 0.1527  7 Co 2.52-2.62, 2 Pt 2.63

=====

Entry 6:
The following is a SCAN calculation of a PBEsol-optimized structure of CoPt2Rh, from the Alexandria database.

## Properties
SG ... R-3m, No. 166

a = 2.6937 Å, b = 2.6937 Å, c = 8.8032 Å
α = 81.20°, β = 81.20°, γ = 60.00°
Closest atoms and distances in Å follow each position.
Sites, in units of the cell vectors:
Co 0.0000 0.0000 0.0000  6 Pt 2.59, 6 Co 2.69
Pt 0.2537 0.2537 0.2390  3 Co 2.59, 6 Pt 2.69, 3 Rh 2.74
Pt 0.7463 0.7463 0.7610  3 Co 2.59, 6 Pt 2.69, 3 Rh 2.74
Rh 0.5000 0.5000 0.5000  6 Rh 2.69, 6 Pt 2.74

=====

Entry 7:
The following is a SCAN calculation of a PBEsol-optimized structure of Co2PtRh, from the Alexandria database.

## Properties
SG ... P4/mmm, No. 123

a = 3.5982 Å, b = 3.7306 Å, c = 3.7306 Å
α = 90.00°, β = 90.00°, γ = 90.00°
Closest atoms and distances in Å follow each position.
Sites, in units of the cell vectors:
Co 0.0000 0.5000 0.0000  4 Pt 2.59, 4 Rh 2.59, 4 Co 2.64
Co 0.0000 0.0000 0.5000  4 Pt 2.59, 4 Rh 2.59, 4 Co 2.64
Rh 0.5000 0.0000 0.0000  8 Co 2.59, 4 Pt 2.64
Pt 0.5000 0.5000 0.5000  8 Co 2.59, 4 Rh 2.64

=====

Entry 8:
The following is a SCAN calculation of a PBEsol-optimized structure of CoPt2Rh, from the Alexandria database.

## Properties
SG ... Pmmm, No. 47

a = 2.6847 Å, b = 3.7659 Å, c = 5.3696 Å
α = 90.00°, β = 90.00°, γ = 90.00°
Closest atoms and distances in Å follow each position.
Sites, in units of the cell vectors:
Pt 0.0000 0.0000 0.7437  4 Pt 2.62-2.75, 4 Co 2.66, 4 Rh 2.69
Pt 0.0000 0.0000 0.2563  4 Pt 2.62-2.75, 4 Co 2.66, 4 Rh 2.69
Co 0.5000 0.5000 0.5000  8 Pt 2.66, 2 Co 2.68, 2 Rh 2.68
Rh 0.5000 0.5000 0.0000  2 Rh 2.68, 2 Co 2.68, 8 Pt 2.69

=====

Entry 9:
The following is a SCAN calculation of a PBEsol-optimized structure of Co2PtRh, from the Alexandria database.

## Properties
SG ... R-3m, No. 166

a = 2.6365 Å, b = 2.6365 Å, c = 8.5520 Å
α = 81.13°, β = 81.13°, γ = 60.00°
Closest atoms and distances in Å follow each position.
Sites, in units of the cell vectors:
Pt 0.5000 0.5000 0.5000  6 Co 2.63, 6 Pt 2.64
Rh 0.0000 0.0000 0.0000  6 Co 2.56, 6 Rh 2.64
Co 0.2516 0.2516 0.2452  3 Rh 2.56, 3 Pt 2.63, 6 Co 2.64
Co 0.7484 0.7484 0.7548  3 Rh 2.56, 3 Pt 2.63, 6 Co 2.64

=====

Entry 10:
The following is a SCAN calculation of a PBEsol-optimized structure of Co2PtRh, from the Alexandria database.

## Properties
SG ... Pmm2, No. 25

a = 2.6306 Å, b = 3.6256 Å, c = 5.2527 Å
α = 90.00°, β = 90.00°, γ = 90.00°
Closest atoms and distances in Å follow each position.
Sites, in units of the cell vectors:
Co 0.0000 0.0000 0.0055  2 Pt 2.53-2.73, 6 Co 2.55-2.63, 4 Rh 2.56
Co 0.5000 0.5000 0.2373  1 Rh 2.45, 6 Co 2.55-2.63, 4 Pt 2.59
Pt 0.0000 0.0000 0.4865  6 Co 2.53-2.73, 2 Pt 2.63, 4 Rh 2.69
Rh 0.5000 0.5000 0.7706  5 Co 2.45-2.56, 2 Rh 2.63, 4 Pt 2.69

=====

Entry 11:
The following is a SCAN calculation of a PBEsol-optimized structure of Co2PtRh, from the Alexandria database.

## Properties
SG ... F-43m, No. 216

a = 4.1769 Å, b = 4.1769 Å, c = 4.1769 Å
α = 60.00°, β = 60.00°, γ = 60.00°
Closest atoms and distances in Å follow each position.
Sites, in units of the cell vectors:
Pt 0.5000 0.5000 0.5000  4 Co 2.56, 4 Rh 2.56
Co 0.7500 0.7500 0.7500  4 Co 2.56, 4 Pt 2.56
Co 0.0000 0.0000 0.0000  4 Co 2.56, 4 Rh 2.56
Rh 0.2500 0.2500 0.2500  4 Co 2.56, 4 Pt 2.56

=====

Entry 12:
The following is a SCAN calculation of a PBEsol-optimized structure of CoPt2Rh, from the Alexandria database.

## Properties
SG ... Cm, No. 8

a = 2.6834 Å, b = 4.6339 Å, c = 4.6496 Å
α = 100.00°, β = 106.77°, γ = 90.00°
Closest atoms and distances in Å follow each position.
Sites, in units of the cell vectors:
Rh 0.4942 0.4958 0.9884  3 Co 2.62-2.74, 7 Pt 2.64-2.72, 2 Rh 2.68
Pt 0.2485 0.7429 0.4970  3 Rh 2.65-2.70, 4 Co 2.65-2.71, 5 Pt 2.68-2.75
Pt 0.0054 0.0100 0.0108  4 Rh 2.64-2.72, 3 Co 2.64-2.69, 5 Pt 2.68-2.75
Co 0.7519 0.2513 0.5038  3 Rh 2.62-2.74, 7 Pt 2.64-2.71, 2 Co 2.68

=====

These records have ΔE_f values of -31.1, -79.7, 288.3, -146.3, -78.7, -46.9, -94.7, -84.9, 1.3, -36.6, 25.6, -81.0 meV per atom, in the order they appear.
These records have electronic total energy values of -40.454, -34.723, -55.020, -48.012, -34.722, -47.912, -34.738, -47.950, -34.642, -34.680, -34.618, -47.947 eV per atom, in the order they appear.